1.
A plane-wave DFT calculation with PBE-GGA was carried out for a geometry-optimized Zr2BeSi3Pt4 structure.

uncorrected formation energy = -21.1 kcal/mol of atoms
N(E_F) = 0.5551 states/eV per atom

a = 4.049 Å, b = 4.049 Å, c = 9.762 Å
α = 90.00°, β = 90.00°, γ = 90.00°
Element x y z (fractional)
Zr1 0.000 0.500 0.240
Zr2 0.500 0.000 0.760
Be1 0.500 0.500 0.000
Si1 0.000 0.000 0.000
Si2 0.000 0.500 0.642
Si3 0.500 0.000 0.358
Pt1 0.000 0.000 0.500
Pt2 0.000 0.500 0.877
Pt3 0.500 0.000 0.123
Pt4 0.500 0.500 0.500

2.
A plane-wave DFT calculation with PBE-GGA was carried out for a geometry-optimized Sm2Be7Pt12 structure.

DFT formation energy = -0.786 eV per atom
N(E_F) = 0.3455 states/eV per atom

a = 9.553 Å, b = 9.553 Å, c = 3.842 Å
α = 90.00°, β = 90.00°, γ = 120.00°
Element x y z (fractional)
Sm1 0.000 0.000 0.000
Sm2 0.333 0.667 0.500
Be1 0.059 0.437 0.000
Be2 0.270 0.224 0.500
Be3 0.378 0.941 0.000
Be4 0.563 0.622 0.000
Be5 0.667 0.333 0.500
Be6 0.776 0.046 0.500
Be7 0.954 0.730 0.500
Pt1 0.042 0.266 0.500
Pt2 0.111 0.718 0.000
Pt3 0.224 0.958 0.500
Pt4 0.282 0.392 0.000
Pt5 0.430 0.202 0.000
Pt6 0.514 0.453 0.500
Pt7 0.547 0.061 0.500
Pt8 0.608 0.889 0.000
Pt9 0.734 0.776 0.500
Pt10 0.772 0.570 0.000
Pt11 0.798 0.228 0.000
Pt12 0.939 0.486 0.500

3.
A plane-wave DFT calculation with PBE-GGA was carried out for a geometry-optimized SmBePt structure.

energy above the most stable polymorph in this dataset = 0 meV per atom
DFT formation energy = -0.803 eV per atom
N(E_F) = 0.8620 states/eV per atom

a = 4.061 Å, b = 4.061 Å, c = 8.038 Å
α = 90.00°, β = 90.00°, γ = 120.00°
Element x y z (fractional)
Sm1 0.000 0.000 0.000
Sm2 0.000 0.000 0.500
Be1 0.333 0.667 0.250
Be2 0.667 0.333 0.750
Pt1 0.333 0.667 0.750
Pt2 0.667 0.333 0.250

4.
A plane-wave DFT calculation with PBE-GGA was carried out for a geometry-optimized SmBe3Pt3 structure.

DFT formation energy = -0.535 eV per atom
N(E_F) = 0.3166 states/eV per atom

a = 6.178 Å, b = 6.178 Å, c = 6.178 Å
α = 90.00°, β = 90.00°, γ = 90.00°
Element x y z (fractional)
Sm1 0.000 0.000 0.000
Sm2 0.500 0.500 0.500
Be1 0.000 0.250 0.500
Be2 0.000 0.750 0.500
Be3 0.250 0.500 0.000
Be4 0.500 0.000 0.250
Be5 0.500 0.000 0.750
Be6 0.750 0.500 0.000
Pt1 0.000 0.500 0.250
Pt2 0.000 0.500 0.750
Pt3 0.250 0.000 0.500
Pt4 0.500 0.250 0.000
Pt5 0.500 0.750 0.000
Pt6 0.750 0.000 0.500

For each record above, in turn, the calculated calculated density values are 10.96; 14.79; 10.25; 10.74 g/cm³.